No. 1
Below is ZrPtPb2 at its PBEsol-relaxed geometry, with properties calculated at the SCAN level.

energy above the lowest structure with this stoichiometry = 0.257 eV per atom
ΔE_f = 0.1 eV/f.u.
magnetic moment = 1.3 μB/cell

Cell and atoms, written as extended XYZ:
```
4
Lattice="4.942 0.000 0.000 2.471 4.280 0.000 2.471 1.427 4.035" Properties=species:S:1:pos:R:3 pbc="T T T"
Pt 0.000 0.000 0.000
Pb 7.414 4.280 3.027
Pb 2.471 1.427 1.009
Zr 4.942 2.853 2.018
```

---

No. 2
Below is ZrPtPb2 at its PBEsol-relaxed geometry, with properties calculated at the SCAN level.

energy above the lowest structure with this stoichiometry = 0.228 eV per atom
ΔE_f = 0.0 eV/f.u.
magnetic moment = 0.0 μB/cell

Cell and atoms, written as extended XYZ:
```
4
Lattice="-0.725 -1.297 2.879 -2.924 -1.872 -1.579 4.122 -5.301 -1.349" Properties=species:S:1:pos:R:3 pbc="T T T"
Pb 0.962 -1.237 -0.315
Pt -1.824 -1.584 0.650
Zr 0.237 -4.235 -0.024
Pb 3.160 -4.064 -1.034
```

---

No. 3
Below is ZrPtPb2 at its PBEsol-relaxed geometry, with properties calculated at the SCAN level.

energy above the lowest structure with this stoichiometry = 0.079 eV per atom
ΔE_f = -0.6 eV/f.u.
magnetic moment = 0.0 μB/cell

Cell and atoms, written as extended XYZ:
```
4
Lattice="-1.390 -0.998 2.831 0.732 -4.262 -1.143 5.541 0.383 2.119" Properties=species:S:1:pos:R:3 pbc="T T T"
Pt -0.329 -2.630 0.844
Pb 3.260 -0.382 3.511
Zr 3.136 -1.939 0.488
Pb 0.890 -0.233 1.440
```

---

No. 4
Below is ZrPtPb2 at its PBEsol-relaxed geometry, with properties calculated at the SCAN level.

energy above the lowest structure with this stoichiometry = 0.000 eV per atom
ΔE_f = -0.9 eV/f.u.
magnetic moment = 0.0 μB/cell

Cell and atoms, written as extended XYZ:
```
4
Lattice="4.060 0.000 0.000 0.000 4.557 0.000 0.000 0.000 4.557" Properties=species:S:1:pos:R:3 pbc="T T T"
Pt 2.030 2.278 2.278
Pb 0.000 0.000 2.278
Zr 2.030 0.000 0.000
Pb 0.000 2.278 0.000
```

---

No. 5
Below is ZrPt2Pb at its PBEsol-relaxed geometry, with properties calculated at the SCAN level.

ΔE_f = -2.4 eV/f.u.
magnetic moment = 0.0 μB/cell

Cell and atoms, written as extended XYZ:
```
4
Lattice="-1.780 1.712 -2.611 -0.848 -1.734 -3.033 -7.392 -2.142 1.160" Properties=species:S:1:pos:R:3 pbc="T T T"
Pb 0.000 0.000 0.000
Pt -7.370 -1.575 -3.431
Pt -2.650 -0.588 -1.053
Zr -5.010 -1.082 -2.242
```

---

No. 6
Below is Pu3Pb at its PBEsol-relaxed geometry, with properties calculated at the SCAN level.

ΔE_f = 0.4 eV/f.u.
magnetic moment = 18.3 μB/cell

Cell and atoms, written as extended XYZ:
```
4
Lattice="4.629 0.000 0.000 0.000 4.629 0.000 0.000 0.000 4.629" Properties=species:S:1:pos:R:3 pbc="T T T"
Pu 2.314 2.314 0.000
Pu 0.000 2.314 2.314
Pu 2.314 0.000 2.314
Pb 0.000 0.000 0.000
```

---

No. 7
Below is RbPb at its PBEsol-relaxed geometry, with properties calculated at the SCAN level.

ΔE_f = -0.8 eV/f.u.
magnetic moment = 0.0 μB/cell

Cell and atoms, written as extended XYZ:
```
32
Lattice="11.758 0.000 0.000 -5.879 11.295 -0.005 0.000 6.125 10.037" Properties=species:S:1:pos:R:3 pbc="T T T"
Rb -2.940 10.071 2.619
Pb -5.157 15.761 9.448
Rb 4.459 5.385 8.825
Rb -1.421 9.501 6.313
Rb 7.300 0.740 1.213
Rb 2.940 11.465 4.902
Rb -2.940 13.134 7.637
Pb 1.364 5.854 2.469
Rb 10.156 3.589 1.253
Pb 0.722 8.838 3.092
Pb 7.243 9.669 8.721
Pb -1.364 6.606 3.702
Rb 1.421 2.322 3.806
Rb 4.459 7.919 3.720
Pb 7.243 3.635 3.823
Rb 1.421 10.981 8.738
Pb 5.157 11.057 1.738
Pb 6.602 10.480 5.783
Pb 4.516 8.916 7.488
Pb 10.395 6.697 8.842
Pb -0.722 12.699 4.429
Rb 4.277 3.589 1.253
Pb 4.516 4.387 5.056
Rb 7.300 6.439 1.294
Pb 0.722 14.119 6.757
Rb 10.338 3.802 6.231
Pb 5.157 11.900 8.111
Rb 2.940 14.527 9.921
Rb 1.602 6.652 6.272
Pb 1.364 1.325 0.038
Rb 7.481 6.652 6.272
Pb -0.722 7.417 0.764
```

---

No. 8
Below is Rb3RhPb at its PBEsol-relaxed geometry, with properties calculated at the SCAN level.

ΔE_f = 3.2 eV/f.u.
magnetic moment = 0.0 μB/cell

Cell and atoms, written as extended XYZ:
```
5
Lattice="5.832 0.000 0.000 0.000 5.832 0.000 0.000 0.000 5.832" Properties=species:S:1:pos:R:3 pbc="T T T"
Rb 0.000 2.916 0.000
Rb 2.916 0.000 0.000
Pb 2.916 2.916 2.916
Rb 0.000 0.000 2.916
Rh 0.000 0.000 0.000
```

---

No. 9
Below is RbPb2S2 at its PBEsol-relaxed geometry, with properties calculated at the SCAN level.

magnetic moment = 0.0 μB/cell
formation energy from raw total energies = -0.625 eV/atom

Cell and atoms, written as extended XYZ:
```
5
Lattice="5.353 0.000 0.000 0.000 5.353 0.000 -2.676 -2.676 5.278" Properties=species:S:1:pos:R:3 pbc="T T T"
S 2.676 0.000 2.639
Pb 2.676 2.676 1.672
S 0.000 2.676 2.639
Pb 0.000 0.000 3.607
Rb 0.000 0.000 0.000
```

---

No. 10
Below is RbPbS2 at its PBEsol-relaxed geometry, with properties calculated at the SCAN level.

magnetic moment = 0.0 μB/cell
formation energy from raw total energies = -0.662 eV/atom

Cell and atoms, written as extended XYZ:
```
8
Lattice="-2.890 -5.753 -3.929 7.088 0.185 1.754 2.908 -4.862 4.979" Properties=species:S:1:pos:R:3 pbc="T T T"
Rb 0.009 -5.307 0.525
Pb 0.000 0.000 0.000
S 0.839 -2.363 -0.776
S 4.389 -5.700 0.440
S 7.710 -4.414 5.468
Pb 3.557 -7.868 1.664
S 1.273 -8.381 0.476
Rb 3.548 -2.561 1.139
```

---

No. 11
Below is Rb2Sb2Pb at its PBEsol-relaxed geometry, with properties calculated at the SCAN level.

magnetic moment = 0.0 μB/cell
formation energy from raw total energies = -0.362 eV/atom

Cell and atoms, written as extended XYZ:
```
10
Lattice="-2.555 -5.148 -0.269 4.877 -2.102 -6.097 5.357 -2.936 5.297" Properties=species:S:1:pos:R:3 pbc="T T T"
Sb 6.535 -3.367 2.347
Sb 2.619 -1.365 1.245
Rb 6.434 -6.415 0.110
Sb 3.699 -1.671 -3.147
Rb 1.245 -3.772 -1.180
Rb 3.200 -4.928 2.373
Sb 7.615 -3.673 -2.045
Pb 5.117 -2.519 -0.400
Rb 4.479 -5.258 -3.443
Pb 0.000 0.000 0.000
```

---

No. 12
Below is RbSc2Pb2 at its PBEsol-relaxed geometry, with properties calculated at the SCAN level.

ΔE_f = -1.5 eV/f.u.
magnetic moment = 0.0 μB/cell

Cell and atoms, written as extended XYZ:
```
5
Lattice="5.055 0.000 0.000 0.000 5.055 0.000 -2.527 -2.527 6.362" Properties=species:S:1:pos:R:3 pbc="T T T"
Rb 0.000 0.000 0.000
Pb 2.527 2.527 1.629
Sc 0.000 2.527 3.181
Pb 0.000 0.000 4.733
Sc 2.527 0.000 3.181
```

---

No. 13
Below is RbPb2Se2 at its PBEsol-relaxed geometry, with properties calculated at the SCAN level.

magnetic moment = 0.0 μB/cell
formation energy from raw total energies = -0.652 eV/atom

Cell and atoms, written as extended XYZ:
```
5
Lattice="-4.621 -3.061 0.527 0.410 -1.537 -5.336 5.040 -1.884 3.834" Properties=species:S:1:pos:R:3 pbc="T T T"
Pb -1.200 -3.590 -1.963
Se -0.843 -3.622 0.978
Se 1.672 -2.860 -1.953
Pb 2.028 -2.891 0.988
Rb 0.000 0.000 0.000
```

---

No. 14
Below is RbTc3Pb at its PBEsol-relaxed geometry, with properties calculated at the SCAN level.

ΔE_f = 15.9 eV/f.u.
magnetic moment = 6.6 μB/cell

Cell and atoms, written as extended XYZ:
```
5
Lattice="-1.796 3.696 -2.300 -3.620 -2.649 -1.431 -2.417 1.223 3.852" Properties=species:S:1:pos:R:3 pbc="T T T"
Tc -1.810 -1.325 -0.715
Pb -3.916 1.135 0.061
Tc -0.898 1.848 -1.150
Tc -1.208 0.611 1.926
Rb 0.000 0.000 0.000
```

---

No. 15
Below is Rb3TePb at its PBEsol-relaxed geometry, with properties calculated at the SCAN level.

magnetic moment = 3.0 μB/cell
formation energy from raw total energies = -0.098 eV/atom

Cell and atoms, written as extended XYZ:
```
5
Lattice="6.747 0.000 0.000 0.000 6.747 0.000 0.000 0.000 6.747" Properties=species:S:1:pos:R:3 pbc="T T T"
Rb 0.000 3.374 0.000
Te 3.374 3.374 3.374
Rb 0.000 0.000 3.374
Pb 0.000 0.000 0.000
Rb 3.374 0.000 0.000
```

---

No. 16
Below is Rb2TePb at its PBEsol-relaxed geometry, with properties calculated at the SCAN level.

magnetic moment = 1.2 μB/cell
formation energy from raw total energies = -0.344 eV/atom

Cell and atoms, written as extended XYZ:
```
4
Lattice="6.039 0.000 0.000 3.019 5.230 0.000 3.019 1.743 4.931" Properties=species:S:1:pos:R:3 pbc="T T T"
Rb 3.019 1.743 1.233
Pb 0.000 0.000 0.000
Rb 9.058 5.230 3.698
Te 6.039 3.486 2.465
```

---

No. 17
Below is RbTePb3 at its PBEsol-relaxed geometry, with properties calculated at the SCAN level.

magnetic moment = 0.0 μB/cell
formation energy from raw total energies = 0.162 eV/atom

Cell and atoms, written as extended XYZ:
```
5
Lattice="6.022 0.000 0.000 0.000 6.022 0.000 0.000 0.000 6.022" Properties=species:S:1:pos:R:3 pbc="T T T"
Rb 3.011 3.011 3.011
Pb 3.011 0.000 0.000
Pb 0.000 0.000 3.011
Te 0.000 0.000 0.000
Pb 0.000 3.011 0.000
```

---

No. 18
Below is RbTl2Pb2 at its PBEsol-relaxed geometry, with properties calculated at the SCAN level.

energy above the lowest structure with this stoichiometry = 0.058 eV per atom
ΔE_f = -0.6 eV/f.u.
magnetic moment = 0.0 μB/cell

Cell and atoms, written as extended XYZ:
```
10
Lattice="3.554 0.000 0.000 0.000 9.564 0.000 0.000 0.000 9.564" Properties=species:S:1:pos:R:3 pbc="T T T"
Tl 1.777 6.331 8.015
Pb 0.000 8.339 6.006
Pb 0.000 1.224 3.558
Rb 0.000 0.000 0.000
Tl 1.777 1.549 6.331
Pb 0.000 3.558 8.339
Pb 0.000 6.006 1.224
Tl 1.777 3.233 1.549
Rb 0.000 4.782 4.782
Tl 1.777 8.015 3.233
```

---

No. 19
Below is RbTl2Pb2 at its PBEsol-relaxed geometry, with properties calculated at the SCAN level.

energy above the lowest structure with this stoichiometry = 0.000 eV per atom
ΔE_f = -0.9 eV/f.u.
magnetic moment = 0.0 μB/cell

Cell and atoms, written as extended XYZ:
```
5
Lattice="5.298 0.000 0.000 0.000 5.298 0.000 -2.649 -2.649 6.304" Properties=species:S:1:pos:R:3 pbc="T T T"
Rb 0.000 0.000 0.000
Pb 0.000 0.000 4.779
Tl 2.649 0.000 3.152
Tl 0.000 2.649 3.152
Pb 2.649 2.649 1.525
```

---

No. 20
Below is Rb3ZnPb at its PBEsol-relaxed geometry, with properties calculated at the SCAN level.

ΔE_f = 1.4 eV/f.u.
magnetic moment = 1.1 μB/cell

Cell and atoms, written as extended XYZ:
```
5
Lattice="6.438 0.000 0.000 0.000 6.438 0.000 0.000 0.000 6.438" Properties=species:S:1:pos:R:3 pbc="T T T"
Rb 0.000 0.000 3.219
Zn 0.000 0.000 0.000
Rb 0.000 3.219 0.000
Pb 3.219 3.219 3.219
Rb 3.219 0.000 0.000
```

---

No. 21
Below is RbZn2Pb2 at its PBEsol-relaxed geometry, with properties calculated at the SCAN level.

ΔE_f = -0.5 eV/f.u.
magnetic moment = 0.0 μB/cell

Cell and atoms, written as extended XYZ:
```
5
Lattice="4.800 0.000 0.000 0.000 4.800 0.000 -2.400 -2.400 5.918" Properties=species:S:1:pos:R:3 pbc="T T T"
Zn 0.000 0.000 4.673
Pb 0.000 2.400 2.959
Pb 2.400 0.000 2.959
Zn 2.400 2.400 1.245
Rb 0.000 0.000 0.000
```

---

No. 22
Below is RePb at its PBEsol-relaxed geometry, with properties calculated at the SCAN level.

energy above the lowest structure with this stoichiometry = 0.028 eV per atom
ΔE_f = 2.9 eV/f.u.
magnetic moment = 0.0 μB/cell

Cell and atoms, written as extended XYZ:
```
2
Lattice="-1.791 0.002 2.798 2.381 -1.744 1.525 1.470 2.828 0.939" Properties=species:S:1:pos:R:3 pbc="T T T"
Pb 0.000 0.000 0.000
Re 1.030 0.543 2.631
```

---

No. 23
Below is RePb at its PBEsol-relaxed geometry, with properties calculated at the SCAN level.

energy above the lowest structure with this stoichiometry = 0.000 eV per atom
ΔE_f = 2.8 eV/f.u.
magnetic moment = 0.0 μB/cell

Cell and atoms, written as extended XYZ:
```
4
Lattice="-0.515 1.018 4.623 3.210 -1.558 3.153 2.960 3.080 2.104" Properties=species:S:1:pos:R:3 pbc="T T T"
Re 0.000 0.000 0.000
Pb 4.241 1.906 7.410
Pb 2.828 1.271 4.940
Re 1.414 0.635 2.470
```

---

No. 24
Below is ReRhPb2 at its PBEsol-relaxed geometry, with properties calculated at the SCAN level.

energy above the lowest structure with this stoichiometry = 0.032 eV per atom
ΔE_f = 3.2 eV/f.u.
magnetic moment = 0.0 μB/cell

Cell and atoms, written as extended XYZ:
```
4
Lattice="-2.644 -2.666 -2.822 1.093 -4.520 -0.663 -2.722 -3.366 1.822" Properties=species:S:1:pos:R:3 pbc="T T T"
Pb -1.068 -2.638 -0.416
Pb -3.205 -7.914 -1.247
Re 0.000 0.000 0.000
Rh -2.137 -5.276 -0.831
```

---

No. 25
Below is ReRh2Pb at its PBEsol-relaxed geometry, with properties calculated at the SCAN level.

ΔE_f = 0.8 eV/f.u.
magnetic moment = 0.0 μB/cell

Cell and atoms, written as extended XYZ:
```
4
Lattice="2.876 0.000 0.000 0.000 2.876 0.000 0.000 0.000 7.857" Properties=species:S:1:pos:R:3 pbc="T T T"
Rh 0.000 0.000 2.218
Pb 1.438 1.438 0.000
Re 1.438 1.438 3.929
Rh 0.000 0.000 5.639
```

---

No. 26
Below is ReRh2Pb at its PBEsol-relaxed geometry, with properties calculated at the SCAN level.

ΔE_f = 2.0 eV/f.u.
magnetic moment = 1.2 μB/cell

Cell and atoms, written as extended XYZ:
```
4
Lattice="2.830 0.000 0.000 0.000 4.751 0.000 0.000 0.000 4.751" Properties=species:S:1:pos:R:3 pbc="T T T"
Pb 1.415 2.375 2.375
Re 1.415 0.000 0.000
Rh 0.000 0.000 2.375
Rh 0.000 2.375 0.000
```

---

No. 27
Below is ReRhPb2 at its PBEsol-relaxed geometry, with properties calculated at the SCAN level.

energy above the lowest structure with this stoichiometry = 0.000 eV per atom
ΔE_f = 3.0 eV/f.u.
magnetic moment = 0.0 μB/cell

Cell and atoms, written as extended XYZ:
```
4
Lattice="3.294 0.380 0.571 -0.667 4.519 0.860 -0.667 -0.956 4.500" Properties=species:S:1:pos:R:3 pbc="T T T"
Re 0.980 1.971 2.966
Pb -0.334 -0.478 2.250
Pb -0.334 2.260 0.430
Rh 1.647 0.190 0.286
```

---

No. 28
Below is ReRh2Pb at its PBEsol-relaxed geometry, with properties calculated at the SCAN level.

ΔE_f = 1.3 eV/f.u.
magnetic moment = 0.0 μB/cell

Cell and atoms, written as extended XYZ:
```
4
Lattice="2.878 0.000 0.031 0.000 3.838 0.000 -0.060 0.000 5.759" Properties=species:S:1:pos:R:3 pbc="T T T"
Pb 1.439 1.919 0.015
Rh -0.017 3.838 1.597
Rh 2.834 0.000 4.193
Re 1.409 1.919 2.895
```

---

no.,VASP energy (eV/cell)
1,-252.31
2,-252.42
3,-253.02
4,-253.34
5,-249.26
6,-405.76
7,-1557.04
8,-168.60
9,-194.68
10,-236.85
11,-387.19
12,-202.29
13,-215.72
14,-185.84
15,-175.74
16,-155.89
17,-284.52
18,-635.25
19,-317.91
20,-150.14
21,-199.85
22,-143.99
23,-288.10
24,-253.27
25,-213.60
26,-212.45
27,-253.40
28,-213.17